Compound: TmLuCu2
Source: Alexandria via LeMat-Bulk
Functional: SCAN
Structure: PBEsol geometry

ΔH_f (0 K) = -0.360 eV/atom
SG = Fm-3m (225)
Raw total energy = -34.7540 eV/atom
Spin magnetization = 0.00 Bohr magnetons per cell
Theoretical density = 10.479 g/cm³

a = 4.726 Å, b = 4.726 Å, c = 4.726 Å
α = 60.00°, β = 60.00°, γ = 60.00°
Element x y z (fractional)
Lu  0.500  0.500  0.500
Tm  0.000  0.000  0.000
Cu  0.750  0.750  0.750
Cu  0.250  0.250  0.250

Compound: SrBiSb2P
Source: Alexandria via LeMat-Bulk
Functional: SCAN
Structure: PBEsol geometry

SG = P4/mmm (123)
Raw total energy = -35.7793 eV/atom
Spin magnetization = 2.53 Bohr magnetons per cell
Formation energy from raw total energies = 1.38 eV per atom
Theoretical density = 4.644 g/cm³

a = 5.834 Å, b = 5.834 Å, c = 5.998 Å
α = 90.00°, β = 90.00°, γ = 90.00°
Element x y z (fractional)
Sb  0.000  0.500  0.000
Sb  0.500  0.000  0.000
Bi  0.000  0.000  0.500
P  0.500  0.500  0.500
Sr  0.000  0.000  0.000

Compound: PdRhN2
Source: Alexandria via LeMat-Bulk
Functional: SCAN
Structure: PBEsol geometry

SG = R-3m (166)
Raw total energy = -20.7388 eV/atom
Spin magnetization = 0.00 Bohr magnetons per cell
Formation energy from raw total energies = 0.54 eV per atom
Theoretical density = 8.689 g/cm³

a = 2.932 Å, b = 2.932 Å, c = 6.323 Å
α = 76.59°, β = 76.59°, γ = 60.00°
Element x y z (fractional)
Rh  0.500  0.500  0.500
Pd  0.000  0.000  0.000
N  0.894  0.894  0.318
N  0.106  0.106  0.682

Compound: Ba3Hg
Source: Alexandria via LeMat-Bulk
Functional: SCAN
Structure: PBEsol geometry

ΔH_f (0 K) = -0.269 eV/atom
SG = P-6m2 (187)
Raw total energy = -46.9728 eV/atom
Spin magnetization = 0.08 Bohr magnetons per cell
Theoretical density = 5.056 g/cm³

a = 4.437 Å, b = 4.437 Å, c = 11.801 Å
α = 90.00°, β = 90.00°, γ = 120.00°
Element x y z (fractional)
Hg  0.333  0.667  0.500
Ba  0.000  0.000  0.310
Ba  0.000  0.000  0.690
Ba  0.333  0.667  0.000

Compound: Ba2YMn
Source: Alexandria via LeMat-Bulk
Functional: SCAN
Structure: PBEsol geometry

ΔH_f (0 K) = 0.340 eV/atom
SG = P4/mmm (123)
Raw total energy = -30.9592 eV/atom
Spin magnetization = 2.43 Bohr magnetons per cell
Theoretical density = 4.838 g/cm³

a = 3.920 Å, b = 3.920 Å, c = 9.347 Å
α = 90.00°, β = 90.00°, γ = 90.00°
Element x y z (fractional)
Ba  0.000  0.000  0.790
Ba  0.000  0.000  0.210
Mn  0.500  0.500  0.000
Y  0.500  0.500  0.500

Compound: In2PtPb
Source: Alexandria via LeMat-Bulk
Functional: SCAN
Structure: PBEsol geometry

ΔH_f (0 K) = -0.150 eV/atom
SG = P4/mmm (123)
Raw total energy = -53.3368 eV/atom
Spin magnetization = 0.00 Bohr magnetons per cell
Theoretical density = 11.751 g/cm³

a = 3.278 Å, b = 3.284 Å, c = 8.295 Å
α = 90.00°, β = 90.00°, γ = 90.00°
Element x y z (fractional)
In  0.000  0.000  0.695
In  0.000  0.000  0.305
Pb  0.500  0.500  0.000
Pt  0.500  0.500  0.500

Compound: K2TaMn
Source: Alexandria via LeMat-Bulk
Functional: SCAN
Structure: PBEsol geometry

ΔH_f (0 K) = 1.368 eV/atom
SG = F-43m (216)
Raw total energy = -24.0055 eV/atom
Spin magnetization = 0.13 Bohr magnetons per cell
Theoretical density = 5.055 g/cm³

a = 5.265 Å, b = 5.265 Å, c = 5.265 Å
α = 60.00°, β = 60.00°, γ = 60.00°
Element x y z (fractional)
K  0.000  0.000  0.000
K  0.250  0.250  0.250
Mn  0.500  0.500  0.500
Ta  0.750  0.750  0.750

Compound: SrCr3Mo
Source: Alexandria via LeMat-Bulk
Functional: SCAN
Structure: PBEsol geometry

ΔH_f (0 K) = 2.637 eV/atom
SG = Pm-3m (221)
Raw total energy = -19.8258 eV/atom
Spin magnetization = 7.02 Bohr magnetons per cell
Theoretical density = 6.187 g/cm³

a = 4.500 Å, b = 4.500 Å, c = 4.500 Å
α = 90.00°, β = 90.00°, γ = 90.00°
Element x y z (fractional)
Sr  0.000  0.000  0.000
Mo  0.500  0.500  0.500
Cr  0.000  0.500  0.000
Cr  0.000  0.000  0.500
Cr  0.500  0.000  0.000

Compound: MgRhCl2
Source: Alexandria via LeMat-Bulk
Functional: SCAN
Structure: PBEsol geometry

SG = P4/mmm (123)
Raw total energy = -13.9208 eV/atom
Spin magnetization = 0.00 Bohr magnetons per cell
Formation energy from raw total energies = -0.25 eV per atom
Theoretical density = 5.142 g/cm³

a = 3.368 Å, b = 4.358 Å, c = 4.358 Å
α = 90.00°, β = 90.00°, γ = 90.00°
Element x y z (fractional)
Cl  0.000  0.000  0.500
Cl  0.000  0.500  0.000
Mg  0.500  0.500  0.500
Rh  0.500  0.000  0.000

Compound: SrPAu
Source: Alexandria via LeMat-Bulk
Functional: SCAN
Structure: PBEsol geometry

ΔH_f (0 K) = -0.383 eV/atom
SG = I4mm (107)
Raw total energy = -34.3265 eV/atom
Spin magnetization = 0.00 Bohr magnetons per cell
Theoretical density = 7.750 g/cm³

a = 3.613 Å, b = 3.613 Å, c = 5.776 Å
α = 108.22°, β = 108.22°, γ = 90.00°
Element x y z (fractional)
Au  0.046  0.046  0.093
P  0.618  0.618  0.236
Sr  0.336  0.336  0.671

Compound: TaHgBr2
Source: Alexandria via LeMat-Bulk
Functional: SCAN
Structure: PBEsol geometry

SG = P4mm (99)
Raw total energy = -43.3002 eV/atom
Spin magnetization = 1.02 Bohr magnetons per cell
Formation energy from raw total energies = 0.12 eV per atom
Theoretical density = 10.501 g/cm³

a = 3.241 Å, b = 3.241 Å, c = 8.150 Å
α = 90.00°, β = 90.00°, γ = 90.00°
Element x y z (fractional)
Hg  0.000  0.000  0.522
Br  0.000  0.000  0.943
Br  0.500  0.500  0.279
Ta  0.500  0.500  0.756

Compound: Cs4ZnO3
Source: Alexandria via LeMat-Bulk
Functional: SCAN
Structure: PBEsol geometry

SG = P2_1/c (14)
Raw total energy = -24.2867 eV/atom
Spin magnetization = 0.01 Bohr magnetons per cell
Formation energy from raw total energies = -1.36 eV per atom
Theoretical density = 5.205 g/cm³

a = 6.984 Å, b = 7.090 Å, c = 18.487 Å
α = 90.00°, β = 90.00°, γ = 115.95°
Element x y z (fractional)
Cs  0.345  0.846  0.924
Cs  0.155  0.154  0.424
Cs  0.655  0.154  0.076
Cs  0.845  0.846  0.576
Cs  0.325  0.788  0.305
Cs  0.175  0.212  0.805
Cs  0.675  0.212  0.695
Cs  0.825  0.788  0.195
Cs  0.292  0.707  0.499
Cs  0.208  0.293  0.999
Cs  0.708  0.293  0.501
Cs  0.792  0.707  0.001
Cs  0.282  0.329  0.194
Cs  0.218  0.671  0.694
Cs  0.718  0.671  0.806
Cs  0.782  0.329  0.306
Zn  0.212  0.714  0.116
Zn  0.288  0.286  0.616
Zn  0.788  0.286  0.884
Zn  0.712  0.714  0.384
O  0.190  0.964  0.092
O  0.310  0.036  0.592
O  0.810  0.036  0.908
O  0.690  0.964  0.408
O  0.470  0.691  0.099
O  0.030  0.309  0.599
O  0.530  0.309  0.901
O  0.970  0.691  0.401
O  0.481  0.491  0.336
O  0.019  0.509  0.836
O  0.519  0.509  0.664
O  0.981  0.491  0.164